(1)
CaNdAsSe | Alexandria via LeMat-Bulk | PBE | optimized geometry; space-group type = R3m, No. 160; total energy = -21.67 eV/cell
1.0
2.1354 1.2329 6.9612
-2.1354 1.2329 6.9612
0.0000 -2.4657 6.9612
Ca Nd As Se
1 1 1 1
Cartesian
0.0000 0.0000 0.0000 Ca
0.0000 0.0000 10.2872 Nd
0.0000 0.0000 15.6416 As
0.0000 0.0000 5.1776 Se

(2)
CaNd2Sm3As6 | Alexandria via LeMat-Bulk | PBE | optimized geometry; calculated formation energy = -1.414 eV per atom; space-group type = C2/m, No. 12; Fermi-level density of states = 5.408 states/eV/cell; total energy = -70.56 eV/cell
1.0
9.2584 -2.1210 0.0000
9.2584 2.1210 0.0000
-1.9570 0.0000 8.2602
Ca Nd Sm As
1 2 3 6
Cartesian
0.0000 0.0000 0.0000 Ca
4.8800 0.0000 5.5266 Nd
11.6799 0.0000 2.7336 Nd
-0.9785 0.0000 4.1301 Sm
5.8593 0.0000 1.3674 Sm
10.7006 0.0000 6.8928 Sm
1.9342 0.0000 4.8319 As
2.9529 0.0000 0.6769 As
8.7431 0.0000 2.1031 As
7.8168 0.0000 6.1571 As
13.6069 0.0000 7.5833 As
14.6257 0.0000 3.4283 As

(3)
CaNd2SmAs4 | Alexandria via LeMat-Bulk | PBE | optimized geometry; calculated formation energy = -1.350 eV per atom; space-group type = P2/m, No. 10; Fermi-level density of states = 4.567 states/eV/cell; total energy = -45.66 eV/cell
1.0
7.3616 0.0000 0.0000
0.0000 4.2573 0.0000
-2.4694 0.0000 6.9592
Ca Nd Sm As
1 2 1 4
Cartesian
0.0000 0.0000 0.0000 Ca
2.4461 0.0000 3.4796 Nd
3.6808 2.1286 0.0000 Nd
-1.2347 2.1286 3.4796 Sm
-0.0195 0.0000 5.1996 As
1.2189 2.1286 1.7597 As
3.6734 2.1286 5.1995 As
4.9118 0.0000 1.7596 As

(4)
Ca3Nd2TaAs6 | Alexandria via LeMat-Bulk | PBE | optimized geometry; calculated formation energy = -1.061 eV per atom; space-group type = C2/m, No. 12; Fermi-level density of states = 5.770 states/eV/cell; total energy = -68.02 eV/cell
1.0
3.5744 -6.2058 0.0000
3.5744 6.2058 0.0000
-2.4317 0.0000 6.8695
Ca Nd Ta As
3 2 1 6
Cartesian
0.0000 0.0000 0.0000 Ca
3.5744 2.1606 0.0000 Ca
3.5744 -2.1606 0.0000 Ca
2.3585 4.1529 3.4347 Nd
2.3585 -4.1529 3.4347 Nd
2.3585 0.0000 3.4347 Ta
1.2810 1.8969 1.8338 As
0.1943 0.0000 5.0506 As
1.2810 -1.8969 1.8338 As
3.4361 1.8969 5.0356 As
4.5228 0.0000 1.8189 As
3.4361 -1.8969 5.0356 As

(5)
CaTbNd2As4 | Alexandria via LeMat-Bulk | PBE | optimized geometry; calculated formation energy = -1.351 eV per atom; space-group type = P2/m, No. 10; Fermi-level density of states = 4.553 states/eV/cell; total energy = -45.57 eV/cell
1.0
7.3087 0.0000 0.0000
0.0000 4.2371 0.0000
-2.4661 0.0000 6.9389
Ca Tb Nd As
1 1 2 4
Cartesian
0.0000 0.0000 0.0000 Ca
-1.2330 2.1186 3.4694 Tb
2.4213 0.0000 3.4694 Nd
3.6543 2.1186 0.0000 Nd
-0.0490 0.0000 5.1643 As
1.1865 2.1186 1.7626 As
3.6561 2.1186 5.1763 As
4.8916 0.0000 1.7746 As

(6)
CaNd3Th2As6 | Alexandria via LeMat-Bulk | PBE | optimized geometry; calculated formation energy = -1.449 eV per atom; space-group type = C2/m, No. 12; Fermi-level density of states = 1.596 states/eV/cell; total energy = -76.42 eV/cell
1.0
9.2908 -2.1365 0.0000
9.2908 2.1365 0.0000
-1.9787 0.0000 8.3074
Ca Nd Th As
1 3 2 6
Cartesian
0.0000 0.0000 0.0000 Ca
-0.9894 0.0000 4.1537 Nd
5.9061 0.0000 1.3757 Nd
10.6968 0.0000 6.9316 Nd
4.9123 0.0000 5.5760 Th
11.6906 0.0000 2.7313 Th
2.9405 0.0000 0.7194 As
1.9758 0.0000 4.8258 As
7.7804 0.0000 6.2115 As
8.8225 0.0000 2.0959 As
14.6271 0.0000 3.4816 As
13.6624 0.0000 7.5880 As

(7)
Ca2NdThAs4 | Alexandria via LeMat-Bulk | PBE | optimized geometry; calculated formation energy = -1.265 eV per atom; space-group type = P2/m, No. 10; Fermi-level density of states = 7.016 states/eV/cell; total energy = -44.90 eV/cell
1.0
7.3357 0.0000 0.0000
0.0000 4.2959 0.0000
-2.5247 0.0000 7.0079
Ca Nd Th As
2 1 1 4
Cartesian
0.0000 0.0000 0.0000 Ca
-1.2623 2.1479 3.5040 Ca
2.4055 0.0000 3.5040 Nd
3.6678 2.1479 0.0000 Th
1.2444 2.1479 1.7475 As
-0.0203 0.0000 5.2898 As
4.8313 0.0000 1.7181 As
3.5666 2.1479 5.2604 As

(8)
Ca3NdTh2As6 | Alexandria via LeMat-Bulk | PBE | optimized geometry; calculated formation energy = -1.296 eV per atom; space-group type = C2/m, No. 12; Fermi-level density of states = 8.881 states/eV/cell; total energy = -69.06 eV/cell
1.0
3.7259 -6.4537 0.0000
3.7259 6.4537 0.0000
-2.4847 0.0000 6.8950
Ca Nd Th As
3 1 2 6
Cartesian
0.0000 0.0000 0.0000 Ca
3.7259 2.1340 0.0000 Ca
3.7259 -2.1340 0.0000 Ca
2.4835 0.0000 3.4475 Nd
2.4835 4.3023 3.4475 Th
2.4835 -4.3023 3.4475 Th
1.2289 2.1741 1.7725 As
-0.0282 0.0000 5.1233 As
1.2289 -2.1741 1.7725 As
3.7381 2.1741 5.1226 As
4.9952 0.0000 1.7717 As
3.7381 -2.1741 5.1226 As

(9)
CaNdTm2As4 | Alexandria via LeMat-Bulk | PBE | optimized geometry; calculated formation energy = -1.348 eV per atom; space-group type = P2/m, No. 10; Fermi-level density of states = 3.891 states/eV/cell; total energy = -45.09 eV/cell
1.0
7.1879 0.0000 0.0000
0.0000 4.1519 0.0000
-2.3906 0.0000 6.8428
Ca Nd Tm As
1 1 2 4
Cartesian
0.0000 0.0000 0.0000 Ca
3.5940 2.0760 0.0000 Nd
-1.1953 2.0760 3.4214 Tm
2.3987 0.0000 3.4214 Tm
0.0029 0.0000 5.0390 As
1.2041 2.0760 1.8118 As
3.5932 2.0760 5.0310 As
4.7945 0.0000 1.8038 As

(10)
CaNd2UAs4 | Alexandria via LeMat-Bulk | PBE | optimized geometry; calculated formation energy = -1.218 eV per atom; space-group type = P2/m, No. 10; Fermi-level density of states = 7.300 states/eV/cell; total energy = -51.17 eV/cell
1.0
7.2849 0.0000 0.0000
0.0000 4.2122 0.0000
-2.3797 0.0000 6.8882
Ca Nd U As
1 2 1 4
Cartesian
0.0000 0.0000 0.0000 Ca
-1.1899 2.1061 3.4441 Nd
2.4526 0.0000 3.4441 Nd
3.6424 2.1061 0.0000 U
1.3208 2.1061 1.6546 As
0.0910 0.0000 5.2471 As
4.8141 0.0000 1.6410 As
3.5843 2.1061 5.2336 As

(11)
Ca3Nd2UAs6 | Alexandria via LeMat-Bulk | PBE | optimized geometry; calculated formation energy = -1.203 eV per atom; space-group type = C2/m, No. 12; total energy = -69.17 eV/cell
1.0
3.6686 -6.3512 0.0000
3.6686 6.3512 0.0000
-2.4610 0.0000 6.8664
Ca Nd U As
3 2 1 6
Cartesian
0.0000 0.0000 0.0000 Ca
3.6686 2.1760 0.0000 Ca
3.6686 -2.1760 0.0000 Ca
2.4381 4.2417 3.4332 Nd
2.4381 -4.2417 3.4332 Nd
2.4381 0.0000 3.4332 U
1.2964 1.9882 1.8143 As
0.1577 0.0000 5.0377 As
1.2964 -1.9882 1.8143 As
3.5797 1.9882 5.0522 As
4.7184 0.0000 1.8287 As
3.5797 -1.9882 5.0522 As

(12)
CaNd2ZrAs4 | Alexandria via LeMat-Bulk | PBE | optimized geometry; calculated formation energy = -1.299 eV per atom; space-group type = P2/m, No. 10; Fermi-level density of states = 1.228 states/eV/cell; total energy = -49.07 eV/cell
1.0
7.1281 0.0000 0.0000
0.0000 4.1468 0.0000
-2.3757 0.0000 6.8352
Ca Nd Zr As
1 2 1 4
Cartesian
0.0000 0.0000 0.0000 Ca
2.3762 0.0000 3.4176 Nd
3.5641 2.0734 0.0000 Nd
-1.1879 2.0734 3.4176 Zr
-0.0981 0.0000 5.0184 As
1.0772 2.0734 1.7706 As
3.6752 2.0734 5.0646 As
4.8505 0.0000 1.8168 As